No. 1
# K2Ga2H, optimized geometry, DFT PBE
# energy: -2.354 eV per atom
data_K2Ga2H
_cell_length_a 3.744
_cell_length_b 3.744
_cell_length_c 19.009
_cell_angle_alpha 90.00
_cell_angle_beta 90.00
_cell_angle_gamma 90.00
_symmetry_space_group_name_H-M 'I 4/m m m'
_symmetry_Int_Tables_number 139
_symmetry_space_group_name_Hall '-I 4 2'
loop_
_atom_site_label
_atom_site_fract_x
_atom_site_fract_y
_atom_site_fract_z
_atom_site_occupancy
K1 0.000 0.000 0.088 1
Ga1 0.000 0.500 0.250 1
H1 0.000 0.000 0.500 1



No. 2
# KGa2H8, optimized geometry, DFT PBE
# energy: -2.953 eV per atom
data_KGa2H8
_cell_length_a 11.887
_cell_length_b 4.097
_cell_length_c 6.794
_cell_angle_alpha 90.00
_cell_angle_beta 119.59
_cell_angle_gamma 90.00
_symmetry_space_group_name_H-M 'C 1 2/m 1'
_symmetry_Int_Tables_number 12
_symmetry_space_group_name_Hall '-C 2y'
loop_
_atom_site_label
_atom_site_fract_x
_atom_site_fract_y
_atom_site_fract_z
_atom_site_occupancy
K1 0.000 0.000 0.000 1
Ga1 0.196 0.000 0.713 1
H1 0.107 0.000 0.449 1
H2 0.154 0.500 0.207 1
H3 0.171 0.310 0.844 1



No. 3
# K3GaH6, optimized geometry, DFT PBE
# energy: -2.823 eV per atom
data_K3GaH6
_cell_length_a 12.252
_cell_length_b 8.330
_cell_length_c 7.332
_cell_angle_alpha 90.00
_cell_angle_beta 90.00
_cell_angle_gamma 90.00
_symmetry_space_group_name_H-M 'C m c 21'
_symmetry_Int_Tables_number 36
_symmetry_space_group_name_Hall 'C 2c -2'
loop_
_atom_site_label
_atom_site_fract_x
_atom_site_fract_y
_atom_site_fract_z
_atom_site_occupancy
K1 0.000 0.029 0.000 1
K2 0.207 0.348 0.582 1
Ga1 0.000 0.382 0.220 1
H1 0.000 0.289 0.411 1
H2 0.000 0.430 0.755 1
H3 0.106 0.330 0.108 1
H4 0.167 0.062 0.764 1



No. 4
# KGaH3, optimized geometry, DFT PBE
# energy: -2.858 eV per atom
data_KGaH3
_cell_length_a 3.952
_cell_length_b 3.952
_cell_length_c 3.952
_cell_angle_alpha 90.00
_cell_angle_beta 90.00
_cell_angle_gamma 90.00
_symmetry_space_group_name_H-M 'P m -3 m'
_symmetry_Int_Tables_number 221
_symmetry_space_group_name_Hall '-P 4 2 3'
loop_
_atom_site_label
_atom_site_fract_x
_atom_site_fract_y
_atom_site_fract_z
_atom_site_occupancy
K1 0.000 0.000 0.000 1
Ga1 0.500 0.500 0.500 1
H1 0.000 0.500 0.500 1



No. 5
# KGa2H6, optimized geometry, DFT PBE
# energy: -2.264 eV per atom
data_KGa2H6
_cell_length_a 7.543
_cell_length_b 7.543
_cell_length_c 7.543
_cell_angle_alpha 90.00
_cell_angle_beta 90.00
_cell_angle_gamma 90.00
_symmetry_space_group_name_H-M 'F m -3 m'
_symmetry_Int_Tables_number 225
_symmetry_space_group_name_Hall '-F 4 2 3'
loop_
_atom_site_label
_atom_site_fract_x
_atom_site_fract_y
_atom_site_fract_z
_atom_site_occupancy
K1 0.000 0.000 0.000 1
Ga1 0.250 0.250 0.250 1
H1 0.000 0.000 0.373 1



No. 6
# K12Ga3H5, optimized geometry, DFT PBE
# energy: -1.885 eV per atom
data_K12Ga3H5
_cell_length_a 18.209
_cell_length_b 18.209
_cell_length_c 18.209
_cell_angle_alpha 90.00
_cell_angle_beta 90.00
_cell_angle_gamma 90.00
_symmetry_space_group_name_H-M 'I a -3 d'
_symmetry_Int_Tables_number 230
_symmetry_space_group_name_Hall '-I 4bd 2c 3'
loop_
_atom_site_label
_atom_site_fract_x
_atom_site_fract_y
_atom_site_fract_z
_atom_site_occupancy
K1 0.031 0.052 0.651 1
Ga1 0.000 0.250 0.125 1
H1 0.000 0.000 0.000 1
H2 0.000 0.250 0.375 1



No. 7
# K2GaH5, optimized geometry, DFT PBE
# energy: -2.899 eV per atom
data_K2GaH5
_cell_length_a 7.716
_cell_length_b 9.139
_cell_length_c 7.675
_cell_angle_alpha 90.00
_cell_angle_beta 90.00
_cell_angle_gamma 90.00
_symmetry_space_group_name_H-M 'F m m 2'
_symmetry_Int_Tables_number 42
_symmetry_space_group_name_Hall 'F 2 -2'
loop_
_atom_site_label
_atom_site_fract_x
_atom_site_fract_y
_atom_site_fract_z
_atom_site_occupancy
K1 0.250 0.250 0.000 1
Ga1 0.000 0.000 0.242 1
H1 0.000 0.000 0.033 1
H2 0.000 0.211 0.246 1
H3 0.183 0.000 0.341 1



No. 8
# KLaGa2H, optimized geometry, DFT PBE
# energy: -2.566 eV per atom
data_KLaGa2H
_cell_length_a 5.946
_cell_length_b 5.946
_cell_length_c 4.309
_cell_angle_alpha 90.00
_cell_angle_beta 90.00
_cell_angle_gamma 90.00
_symmetry_space_group_name_H-M 'P 4/m m m'
_symmetry_Int_Tables_number 123
_symmetry_space_group_name_Hall '-P 4 2'
loop_
_atom_site_label
_atom_site_fract_x
_atom_site_fract_y
_atom_site_fract_z
_atom_site_occupancy
K1 0.000 0.000 0.000 1
La1 0.500 0.500 0.500 1
Ga1 0.000 0.500 0.000 1
H1 0.000 0.000 0.500 1